No. 1
The following is a DFT calculation (GGA-PBE) of an optimized crystal structure of TbDyGaNi.

The space group is Amm2 (No. 38) and the conventional cell measures 4.357, 3.731 and 10.880 Å, with angles of 90.00, 90.00 and 90.00 degrees. Symmetry generates all atoms from Tb at (0.000, 0.000, 0.000), Dy at (0.500, 0.000, 0.718), Ga at (0.500, 0.000, 0.430) and Ni at (0.000, 0.000, 0.294).

The total DFT energy (no corrections) is -40.02 eV/cell. For the formation energy, the calculation gives -2.0 eV/f.u.

=====

No. 2
The following is a DFT calculation (GGA-PBE) of an optimized crystal structure of YSiTc2.

The space group is Pm (No. 6) and the conventional cell measures 3.217, 4.357 and 5.170 Å, with angles of 90.00, 104.18 and 90.00 degrees. Symmetry generates all atoms from Y at (0.000, 0.000, 0.000), Si at (0.596, 0.500, 0.228), Tc at (0.261, 0.500, 0.621) and Tc at (0.597, 0.000, 0.488).

As for the energy relative to the elements, uncorrected: -0.13 eV/atom. The total DFT energy (no corrections) is -33.13 eV/cell.

=====

No. 3
The following is a DFT calculation (GGA-PBE) of an optimized crystal structure of NaTbCo.

The space group is C2 (No. 5) and the conventional cell measures 6.780, 3.915 and 12.762 Å, with angles of 90.00, 90.01 and 90.00 degrees. Symmetry generates all atoms from Na at (0.166, 0.000, 0.380), Tb at (0.000, 0.497, 0.138) and Co at (0.166, 0.997, 0.000).

The total DFT energy (no corrections) is -53.53 eV/cell. For the formation energy, the calculation gives -0.3 eV/f.u.

=====

No. 4
The following is a DFT calculation (GGA-PBE) of an optimized crystal structure of KBiPd.

The space group is P2_1/c (No. 14) and the conventional cell measures 7.050, 7.169 and 8.685 Å, with angles of 90.00, 122.00 and 90.00 degrees. Symmetry generates all atoms from K at (0.201, 0.117, 0.416), Bi at (0.258, 0.615, 0.576) and Pd at (0.392, 0.615, 0.336).

The total DFT energy (no corrections) is -44.90 eV/cell. For the formation energy, the calculation gives -1.1 eV/f.u.

=====

No. 5
The following is a DFT calculation (GGA-PBE) of an optimized crystal structure of Sm2Ho6TmSc.

The space group is C2/c (No. 15) and the conventional cell measures 8.958, 14.756 and 9.515 Å, with angles of 90.00, 98.74 and 90.00 degrees. Symmetry generates all atoms from Sm at (0.248, 0.051, 0.045), Ho at (0.063, 0.190, 0.443), Ho at (0.101, 0.395, 0.617), Ho at (0.209, 0.220, 0.809), Tm at (0.000, 0.018, 0.750) and Sc at (0.000, 0.410, 0.250).

The total DFT energy (no corrections) is -185.89 eV/cell. For the formation energy, the calculation gives 1.2 eV/f.u.

=====

No. 6
The following is a DFT calculation (GGA-PBE) of an optimized crystal structure of Mg3OsCl.

The space group is Pm-3m (No. 221) and the conventional cell measures 4.641, 4.641 and 4.641 Å, with angles of 90.00, 90.00 and 90.00 degrees. Symmetry generates all atoms from Mg at (0.000, 0.000, 0.500), Os at (0.500, 0.500, 0.500) and Cl at (0.000, 0.000, 0.000).

As for the energy relative to the elements, uncorrected: 0.58 eV/atom. The total DFT energy (no corrections) is -14.94 eV/cell.

=====

No. 7
The following is a DFT calculation (GGA-PBE) of an optimized crystal structure of Nb2SiRhN.

The space group is P4/mmm (No. 123) and the conventional cell measures 4.701, 4.701 and 4.197 Å, with angles of 90.00, 90.00 and 90.00 degrees. Symmetry generates all atoms from Nb at (0.000, 0.500, 0.000), Si at (0.000, 0.000, 0.000), Rh at (0.000, 0.000, 0.500) and N at (0.500, 0.500, 0.500).

As for the energy relative to the elements, uncorrected: 1.52 eV/atom. The total DFT energy (no corrections) is -33.62 eV/cell.

=====

No. 8
The following is a DFT calculation (GGA-PBE) of an optimized crystal structure of MgZn2Au.

The space group is C2/m (No. 12) and the conventional cell measures 9.098, 3.581 and 4.378 Å, with angles of 90.00, 109.25 and 90.00 degrees. Symmetry generates all atoms from Mg at (0.000, 0.000, 0.000), Zn at (0.242, 0.000, 0.730) and Au at (0.000, 0.500, 0.500).

The total DFT energy (no corrections) is -16.85 eV/cell. For the formation energy, the calculation gives -1.0 eV/f.u.

=====

Which of these has the highest total DFT energy (no corrections)? Mg3OsCl